1.
Computed, not measured: a relaxed structure of Sc2NiMo at the PBE level of DFT.

abc: 4.131 4.141 8.409
angles: 90.00 90.00 90.00
Space group Cmm2 (No. 35)
Inequivalent atoms, fractional coordinates:
Sc 0.000 0.000 0.000
Sc 0.000 0.500 0.341
Ni 0.000 0.000 0.556
Mo 0.000 0.500 0.746

DFT formation energy	11	meV per atom
total energy	-58.46	eV for the cell shown
M_tot	0.000	μB/atom
V	144	Å³/cell

=====

2.
Computed, not measured: a relaxed structure of Sc2NiMo at the PBE level of DFT.

abc: 6.480 6.480 6.480
angles: 90.00 90.00 90.00
Space group F-43m (No. 216)
Inequivalent atoms, fractional coordinates:
Sc 0.000 0.000 0.000
Sc 0.250 0.250 0.250
Ni 0.000 0.000 0.500
Mo 0.250 0.250 0.750

DFT formation energy	213	meV per atom
total energy	-113.69	eV for the cell shown
M_tot	0.377	μB/atom
V	272	Å³/cell

=====

3.
Computed, not measured: a relaxed structure of ScNi6Mo at the PBE level of DFT.

abc: 7.351 10.388 10.379
angles: 90.00 90.00 90.00
Space group Cmmm (No. 65)
Inequivalent atoms, fractional coordinates:
Sc 0.000 0.000 0.250
Sc 0.000 0.249 0.000
Ni 0.000 0.000 0.000
Ni 0.000 0.000 0.500
Ni 0.000 0.254 0.257
Ni 0.000 0.500 0.000
Ni 0.000 0.500 0.500
Ni 0.244 0.373 0.378
Ni 0.245 0.376 0.129
Mo 0.000 0.246 0.500
Mo 0.000 0.500 0.247

DFT formation energy	-210	meV per atom
total energy	-428.28	eV for the cell shown
M_tot	0.093	μB/atom
V	793	Å³/cell

=====

4.
Computed, not measured: a relaxed structure of ScNiMo2 at the PBE level of DFT.

abc: 6.295 6.295 6.295
angles: 90.00 90.00 90.00
Space group F-43m (No. 216)
Inequivalent atoms, fractional coordinates:
Sc 0.000 0.000 0.000
Ni 0.250 0.250 0.750
Mo 0.000 0.000 0.500
Mo 0.250 0.250 0.250

energy above the most stable polymorph in this dataset	0.033	eV per atom
DFT formation energy	-4	meV per atom
total energy	-135.17	eV for the cell shown
M_tot	0.000	μB/atom
V	249	Å³/cell

=====

5.
Computed, not measured: a relaxed structure of Sc2NiMo at the PBE level of DFT.

abc: 7.133 7.133 5.647
angles: 90.00 90.00 90.00
Space group I-42d (No. 122)
Inequivalent atoms, fractional coordinates:
Sc 0.215 0.250 0.125
Ni 0.000 0.000 0.000
Mo 0.000 0.000 0.500

DFT formation energy	280	meV per atom
total energy	-112.62	eV for the cell shown
M_tot	0.000	μB/atom
V	287	Å³/cell

=====

6.
Computed, not measured: a relaxed structure of ScNiMo2 at the PBE level of DFT.

abc: 5.233 8.969 2.706
angles: 90.00 90.00 90.00
Space group Cmmm (No. 65)
Inequivalent atoms, fractional coordinates:
Sc 0.000 0.000 0.000
Ni 0.000 0.500 0.000
Mo 0.250 0.250 0.500

energy above the most stable polymorph in this dataset	0.258	eV per atom
DFT formation energy	220	meV per atom
total energy	-65.79	eV for the cell shown
M_tot	0.000	μB/atom
V	127	Å³/cell

=====

7.
Computed, not measured: a relaxed structure of Sc2NiMo2 at the PBE level of DFT.

abc: 3.499 3.499 15.995
angles: 90.00 90.00 90.00
Space group I4/mmm (No. 139)
Inequivalent atoms, fractional coordinates:
Sc 0.000 0.000 0.094
Ni 0.000 0.000 0.500
Mo 0.000 0.500 0.250

energy above the most stable polymorph in this dataset	0.000	eV per atom
DFT formation energy	329	meV per atom
total energy	-76.92	eV for the cell shown
M_tot	0.000	μB/atom
V	196	Å³/cell

=====

8.
Computed, not measured: a relaxed structure of Sc2NiMo at the PBE level of DFT.

abc: 3.0353 3.0353 27.4843
angles: 90.00 90.00 120.00
Space group R3m (No. 160, hexagonal axes)
Inequivalent atoms, fractional coordinates:
Sc 0.0000 0.0000 0.0000
Sc 0.0000 0.0000 0.2269
Ni 0.0000 0.0000 0.7410
Mo 0.0000 0.0000 0.4770

DFT formation energy	248	meV per atom
total energy	-84.85	eV for the cell shown
M_tot	0.000	μB/atom
V	219	Å³/cell

=====

Copy entry 1 word for word.
Computed, not measured: a relaxed structure of Sc2NiMo at the PBE level of DFT.

abc: 4.131 4.141 8.409
angles: 90.00 90.00 90.00
Space group Cmm2 (No. 35)
Inequivalent atoms, fractional coordinates:
Sc 0.000 0.000 0.000
Sc 0.000 0.500 0.341
Ni 0.000 0.000 0.556
Mo 0.000 0.500 0.746

DFT formation energy	11	meV per atom
total energy	-58.46	eV for the cell shown
M_tot	0.000	μB/atom
V	144	Å³/cell

=====

> Look up the DFT formation energy of the eighth one.

248 meV per atom

=====

> Look up the DFT formation energy of the second one.

213 meV per atom